The following is a DFT calculation (GGA-PBE) of a relaxed structure of Li2TaSi.

Cell: 9.735 9.735 9.735 Å, 16.39 16.39 16.39°
Positions (direct):
Li (0.242, 0.242, 0.242)
Li (0.758, 0.758, 0.758)
Ta (0.000, 0.000, 0.000)
Si (0.500, 0.500, 0.500)

Uncorrected formation energy, kJ per mole of atoms: 16
Symmetry: R-3m (166)



The following is a DFT calculation (GGA-PBE) of a relaxed structure of TbDy5Mg3.

Cell: 9.351 9.351 6.929 Å, 90.00 90.00 120.00°
Positions (direct):
Tb (0.000, 0.000, 0.000)
Tb (0.000, 0.000, 0.500)
Dy (0.000, 0.334, 0.250)
Dy (0.000, 0.666, 0.750)
Dy (0.333, 0.667, 0.000)
Dy (0.333, 0.667, 0.500)
Dy (0.334, 0.000, 0.250)
Dy (0.334, 0.334, 0.750)
Dy (0.666, 0.000, 0.750)
Dy (0.666, 0.666, 0.250)
Dy (0.667, 0.333, 0.000)
Dy (0.667, 0.333, 0.500)
Mg (0.000, 0.333, 0.750)
Mg (0.000, 0.667, 0.250)
Mg (0.333, 0.000, 0.750)
Mg (0.333, 0.333, 0.250)
Mg (0.667, 0.000, 0.250)
Mg (0.667, 0.667, 0.750)

Symmetry: P6_3/mcm (193)
ΔH_f (0 K), eV per formula unit: 0.09



Ordered calculated total energy results: -5.11; -3.59; unit eV per atom.